# 1
SrZrBr: relaxed, PBE.

abc: 4.2989 5.5236 14.3276
angles: 90.00 90.00 90.00
Closest atoms and distances in Å follow each position.
Space group Fmm2 (No. 42)
One atom of each set of equivalent atoms:
Sr (0.0000, 0.0000, 0.0000)  2 Br 3.28, 2 Zr 3.42, 4 Sr 3.50
Zr (0.0000, 0.0000, 0.3142)  2 Br 2.95
Br (0.0000, 0.0000, 0.6733)  2 Zr 2.95, 2 Sr 3.28

Computed properties:
Excess energy over the best structure of this formula in the dataset in meV/atom: 110
Calculated total energy in eV/cell: -50.569



# 2
SrZr2Br: relaxed, PBE.

abc: 3.3903 3.3903 31.9104
angles: 90.00 90.00 120.00
Closest atoms and distances in Å follow each position.
Space group R-3m (No. 166, hexagonal axes)
One atom of each set of equivalent atoms:
Sr (0.0000, 0.0000, 0.0000)  6 Sr 3.39, 6 Zr 3.64
Zr (0.0000, 0.0000, 0.2373)  3 Br 2.99
Br (0.0000, 0.0000, 0.5000)  6 Zr 2.99

Computed properties:
Excess energy over the best structure of this formula in the dataset in meV/atom: 375
Calculated total energy in eV/cell: -59.759



# 3
Sr3ZrBr: relaxed, PBE.

abc: 6.4416 6.4416 6.4416
angles: 90.00 90.00 90.00
Closest atoms and distances in Å follow each position.
Space group Pm-3m (No. 221)
One atom of each set of equivalent atoms:
Sr (0.0000, 0.0000, 0.5000)  2 Zr 3.22
Zr (0.0000, 0.0000, 0.0000)  6 Sr 3.22
Br (0.5000, 0.5000, 0.5000)  12 Sr 4.55

Computed properties:
Excess energy over the best structure of this formula in the dataset in meV/atom: 416
Calculated total energy in eV/cell: -12.991



# 4
SrZr2Br: relaxed, PBE.

abc: 7.5037 7.5037 7.5037
angles: 90.00 90.00 90.00
Closest atoms and distances in Å follow each position.
Space group Fm-3m (No. 225)
One atom of each set of equivalent atoms:
Sr (0.0000, 0.0000, 0.0000)  8 Zr 3.25
Zr (0.2500, 0.2500, 0.2500)  4 Br 3.25, 4 Sr 3.25
Br (0.0000, 0.0000, 0.5000)  8 Zr 3.25

Computed properties:
Excess energy over the best structure of this formula in the dataset in meV/atom: 1041
Calculated total energy in eV/cell: -69.021



# 5
SrZr2Br: relaxed, PBE.

abc: 5.7801 12.1420 3.3705
angles: 90.00 90.00 90.00
Closest atoms and distances in Å follow each position.
Space group Cmmm (No. 65)
One atom of each set of equivalent atoms:
Sr (0.0000, 0.0000, 0.0000)  2 Br 2.89
Zr (0.2500, 0.2500, 0.5000)  2 Zr 2.89
Br (0.0000, 0.5000, 0.0000)  2 Sr 2.89

Computed properties:
Excess energy over the best structure of this formula in the dataset in meV/atom: 590
Calculated total energy in eV/cell: -38.119



# 6
SrZr2Br: relaxed, PBE.

abc: 10.7853 3.3614 6.5651
angles: 90.00 103.74 90.00
Closest atoms and distances in Å follow each position.
Space group Cm (No. 8)
One atom of each set of equivalent atoms:
Sr (0.0000, 0.0000, 0.0000)  3 Br 3.24-3.37, 2 Sr 3.36, 2 Zr 3.54
Zr (0.1887, 0.0000, 0.5779)  3 Zr 2.98-3.00, 2 Br 3.09
Zr (0.4547, 0.0000, 0.5135)  2 Br 2.92, 3 Zr 2.98-3.00
Br (0.2667, 0.5000, 0.2337)  4 Zr 2.92-3.09, 1 Sr 3.24

Computed properties:
Excess energy over the best structure of this formula in the dataset in meV/atom: 236
Calculated total energy in eV/cell: -40.951



# 7
SrZrBr2: relaxed, PBE.

abc: 13.4445 3.5925 5.2614
angles: 90.00 110.50 90.00
Closest atoms and distances in Å follow each position.
Space group Cm (No. 8)
One atom of each set of equivalent atoms:
Sr (0.0000, 0.0000, 0.0000)  6 Br 3.24-3.52, 2 Zr 3.58, 2 Sr 3.59
Zr (0.2634, 0.0000, 0.9494)  4 Br 2.75-2.84
Br (0.1144, 0.5000, 0.5972)  2 Zr 2.84
Br (0.3491, 0.5000, 0.3639)  2 Zr 2.75

Computed properties:
Excess energy over the best structure of this formula in the dataset in meV/atom: 186
Calculated total energy in eV/cell: -32.470



# 8
SrZr2Br: relaxed, PBE.

abc: 3.4225 5.8076 10.8988
angles: 90.00 90.00 90.00
Closest atoms and distances in Å follow each position.
Space group Cmmm (No. 65)
One atom of each set of equivalent atoms:
Sr (0.0000, 0.0000, 0.0000)  6 Sr 3.37-3.42, 4 Zr 3.56
Zr (0.0000, 0.5000, 0.2859)  2 Br 2.89
Br (0.0000, 0.0000, 0.5000)  4 Zr 2.89

Computed properties:
Excess energy over the best structure of this formula in the dataset in meV/atom: 452
Calculated total energy in eV/cell: -39.222



# 9
SrZr2Br: relaxed, PBE.

abc: 4.7485 4.7485 9.4502
angles: 90.00 90.00 90.00
Closest atoms and distances in Å follow each position.
Space group I-4m2 (No. 119)
One atom of each set of equivalent atoms:
Sr (0.0000, 0.0000, 0.0000)  8 Zr 3.35-3.36, 4 Br 3.35
Zr (0.0000, 0.0000, 0.5000)  4 Zr 3.35, 4 Br 3.35, 4 Sr 3.36
Zr (0.0000, 0.5000, 0.7500)  4 Zr 3.35, 4 Sr 3.35, 4 Br 3.36
Br (0.0000, 0.5000, 0.2500)  8 Zr 3.35-3.36, 4 Sr 3.35

Computed properties:
Excess energy over the best structure of this formula in the dataset in meV/atom: 697
Calculated total energy in eV/cell: -37.268



# 10
SrZr2Br: relaxed, PBE.

abc: 3.3869 4.9839 12.6764
angles: 90.00 90.00 90.00
Closest atoms and distances in Å follow each position.
Space group Amm2 (No. 38)
One atom of each set of equivalent atoms:
Sr (0.0000, 0.0000, 0.0000)  4 Br 3.04, 2 Sr 3.39
Zr (0.0000, 0.0000, 0.7311)  2 Br 3.05, 6 Zr 3.15-3.39, 1 Sr 3.41
Zr (0.5000, 0.0000, 0.3041)  1 Br 2.88, 4 Zr 3.15
Br (0.5000, 0.0000, 0.5313)  3 Zr 2.88-3.05, 4 Sr 3.04

Computed properties:
Excess energy over the best structure of this formula in the dataset in meV/atom: 29
Calculated total energy in eV/cell: -42.612



# 11
Ta7Br6: relaxed, PBE.

abc: 5.7411 5.7411 33.9224
angles: 90.00 90.00 120.00
Closest atoms and distances in Å follow each position.
Space group R-3m (No. 166, hexagonal axes)
One atom of each set of equivalent atoms:
Ta (0.0000, 0.0000, 0.0000)  6 Ta 2.90
Ta (0.0186, 0.5093, 0.5947)  4 Br 2.66-2.92, 3 Ta 2.71-2.90
Br (0.0000, 0.0000, 0.1370)  3 Ta 2.70
Br (0.0000, 0.0000, 0.3205)  3 Ta 2.66
Br (0.0000, 0.0000, 0.4211)  6 Ta 2.92

Computed properties:
Calculated total energy in eV/cell: -261.780



# 12
TaBr3: relaxed, PBE.

abc: 3.3004 3.3004 33.2259
angles: 90.00 90.00 120.00
Closest atoms and distances in Å follow each position.
Space group R-3m (No. 166, hexagonal axes)
One atom of each set of equivalent atoms:
Ta (0.0000, 0.0000, 0.0000)  6 Br 2.68
Br (0.0000, 0.0000, 0.3902)  3 Ta 2.68
Br (0.0000, 0.0000, 0.5000)  8 Br 3.30-3.65

Computed properties:
Calculated total energy in eV/cell: -53.437



# 13
TaBr4: relaxed, PBE.

abc: 6.3751 6.3751 11.4606
angles: 90.00 90.00 90.00
Closest atoms and distances in Å follow each position.
Space group I-42m (No. 121)
One atom of each set of equivalent atoms:
Ta (0.0000, 0.0000, 0.0000)  4 Br 2.42
Br (0.2208, 0.2208, 0.1205)  1 Ta 2.42

Computed properties:
Calculated total energy in eV/cell: -44.360



# 14
TaBr3: relaxed, PBE.

abc: 3.2494 5.0522 14.4140
angles: 90.00 90.00 90.00
Closest atoms and distances in Å follow each position.
Space group Immm (No. 71)
One atom of each set of equivalent atoms:
Ta (0.0000, 0.0000, 0.0000)  4 Br 2.66
Br (0.0000, 0.0000, 0.5000)  4 Ta 3.00, 6 Br 3.25-3.29
Br (0.0000, 0.5000, 0.3543)  2 Ta 2.66

Computed properties:
Calculated total energy in eV/cell: -36.419



# 15
TaBr4: relaxed, PBE.

abc: 5.1184 5.1184 5.1184
angles: 90.00 90.00 90.00
Closest atoms and distances in Å follow each position.
Space group Pm-3m (No. 221)
One atom of each set of equivalent atoms:
Ta (0.0000, 0.0000, 0.0000)  6 Br 2.56
Br (0.0000, 0.0000, 0.5000)  2 Ta 2.56
Br (0.5000, 0.5000, 0.5000)  12 Br 3.62

Computed properties:
Calculated total energy in eV/cell: -19.730



# 16
TaBr3: relaxed, PBE.

abc: 5.0842 5.0842 3.4621
angles: 90.00 90.00 90.00
Closest atoms and distances in Å follow each position.
Space group P4/mmm (No. 123)
One atom of each set of equivalent atoms:
Ta (0.0000, 0.0000, 0.0000)  8 Br 3.08
Br (0.0000, 0.5000, 0.5000)  4 Ta 3.08, 4 Br 3.08
Br (0.5000, 0.5000, 0.0000)  8 Br 3.08

Computed properties:
Calculated total energy in eV/cell: -13.667



# 17
TaBr3: relaxed, PBE.

abc: 5.1037 14.5230 3.4361
angles: 90.00 90.00 90.00
Closest atoms and distances in Å follow each position.
Space group Cmmm (No. 65)
One atom of each set of equivalent atoms:
Ta (0.0000, 0.0000, 0.0000)  6 Br 2.55-2.63
Br (0.0000, 0.1375, 0.5000)  2 Ta 2.63
Br (0.0000, 0.5000, 0.0000)  2 Ta 2.55

Computed properties:
Calculated total energy in eV/cell: -38.460



# 18
TaBr3: relaxed, PBE.

abc: 3.3860 3.3860 9.3279
angles: 90.00 90.00 120.00
Closest atoms and distances in Å follow each position.
Space group P-6m2 (No. 187)
One atom of each set of equivalent atoms:
Ta (0.0000, 0.0000, 0.0000)  6 Br 2.67
Br (0.0000, 0.0000, 0.5000)  12 Br 3.39-3.45
Br (0.3333, 0.6667, 0.1953)  3 Ta 2.67

Computed properties:
Calculated total energy in eV/cell: -17.914



# 19
Ta5Br: relaxed, PBE.

abc: 4.7124 9.8919 4.7982
angles: 90.00 90.00 90.00
Closest atoms and distances in Å follow each position.
Space group Cmmm (No. 65)
One atom of each set of equivalent atoms:
Ta (0.0000, 0.0000, 0.0000)  10 Ta 2.89-3.18
Ta (0.0000, 0.1632, 0.5000)  2 Br 2.86, 6 Ta 2.87-2.92
Ta (0.0000, 0.3218, 0.0000)  6 Ta 2.75-2.94, 2 Br 2.98
Br (0.0000, 0.5000, 0.5000)  8 Ta 2.86-2.98

Computed properties:
Excess energy over the best structure of this formula in the dataset in meV/atom: 103
Calculated total energy in eV/cell: -116.350



# 20
TaBr3: relaxed, PBE.

abc: 5.7530 5.7530 5.7530
angles: 90.00 90.00 90.00
Closest atoms and distances in Å follow each position.
Space group Pm-3n (No. 223)
One atom of each set of equivalent atoms:
Ta (0.0000, 0.0000, 0.0000)  12 Br 3.22
Br (0.0000, 0.2500, 0.5000)  2 Br 2.88, 4 Ta 3.22

Computed properties:
Calculated total energy in eV/cell: -27.830



Number 1: magnetization 1.98 μB/cell, E_form (uncorrected) -0.2465 eV per atom. Number 2: magnetization 0.00 μB/cell, E_form (uncorrected) 0.1328 eV per atom. Number 3: magnetization 3.16 μB/cell, E_form (uncorrected) 0.4550 eV per atom. Number 4: magnetization 5.80 μB/cell, E_form (uncorrected) 0.7989 eV per atom. Number 5: magnetization 0.00 μB/cell, E_form (uncorrected) 0.3478 eV per atom. Number 6: magnetization 0.00 μB/cell, E_form (uncorrected) -0.0061 eV per atom. Number 7: magnetization 0.82 μB/cell, E_form (uncorrected) -0.6649 eV per atom. Number 8: magnetization 0.00 μB/cell, E_form (uncorrected) 0.2100 eV per atom. Number 9: magnetization 0.34 μB/cell, E_form (uncorrected) 0.4542 eV per atom. Number 10: magnetization 0.00 μB/cell, E_form (uncorrected) -0.2137 eV per atom. Number 11: magnetization 0.00 μB/cell, E_form (uncorrected) 0.4420 eV per atom. Number 12: magnetization 0.00 μB/cell, E_form (uncorrected) -0.2353 eV per atom. Number 13: magnetization 2.00 μB/cell, E_form (uncorrected) -0.7272 eV per atom. Number 14: magnetization 1.81 μB/cell, E_form (uncorrected) -0.3346 eV per atom. Number 15: magnetization 0.00 μB/cell, E_form (uncorrected) -0.2372 eV per atom. Number 16: magnetization 1.08 μB/cell, E_form (uncorrected) 0.8010 eV per atom. Number 17: magnetization 0.00 μB/cell, E_form (uncorrected) -0.5897 eV per atom. Number 18: magnetization 0.00 μB/cell, E_form (uncorrected) -0.2606 eV per atom. Number 19: magnetization 0.00 μB/cell, E_form (uncorrected) 0.4602 eV per atom. Number 20: magnetization 4.04 μB/cell, E_form (uncorrected) 0.7391 eV per atom.